Record 1
Below is a relaxed structure of BeCd, with properties calculated at the PBE level.

Calculated values
DFT total energy ... -1.7515 eV/atom
Total magnetic moment ... 0.000 μB per formula unit
Formation energy from the elements ... 569 meV per atom

a = 7.3379 Å, b = 7.3379 Å, c = 7.3379 Å
α = 90.00°, β = 90.00°, γ = 90.00°
Last column: nearest neighbours and their distance in Å.
Fractional positions:
Be (0.1005, 0.1005, 0.1005)  3 Be 2.09
Be (0.1005, 0.8995, 0.8995)  3 Be 2.09
Be (0.3995, 0.3995, 0.6005)  3 Be 2.09
Be (0.3995, 0.6005, 0.3995)  3 Be 2.09
Be (0.6005, 0.3995, 0.3995)  3 Be 2.09
Be (0.6005, 0.6005, 0.6005)  3 Be 2.09
Be (0.8995, 0.1005, 0.8995)  3 Be 2.09
Be (0.8995, 0.8995, 0.1005)  3 Be 2.09
Cd (0.2143, 0.2143, 0.7857)  4 Be 2.35-2.59
Cd (0.2143, 0.7857, 0.2143)  4 Be 2.35-2.59
Cd (0.2857, 0.2857, 0.2857)  4 Be 2.35-2.59
Cd (0.2857, 0.7143, 0.7143)  4 Be 2.35-2.59
Cd (0.7143, 0.2857, 0.7143)  4 Be 2.35-2.59
Cd (0.7143, 0.7143, 0.2857)  4 Be 2.35-2.59
Cd (0.7857, 0.2143, 0.2143)  4 Be 2.35-2.59
Cd (0.7857, 0.7857, 0.7857)  4 Be 2.35-2.59


Record 2
Below is a relaxed structure of BeCd, with properties calculated at the PBE level.

Calculated values
DFT total energy ... -1.9313 eV/atom
Total magnetic moment ... 0.000 μB per formula unit
Formation energy from the elements ... 389 meV per atom

a = 4.0710 Å, b = 2.8016 Å, c = 5.8618 Å
α = 90.00°, β = 108.69°, γ = 90.00°
Last column: nearest neighbours and their distance in Å.
Fractional positions:
Be (0.0840, 0.2500, 0.1482)  2 Be 2.17
Be (0.9160, 0.7500, 0.8518)  2 Be 2.17
Cd (0.3478, 0.2500, 0.7038)  4 Be 2.60, 2 Cd 2.80
Cd (0.6522, 0.7500, 0.2962)  4 Be 2.60, 2 Cd 2.80


Record 3
Below is a relaxed structure of Be5Cd, with properties calculated at the PBE level.

Calculated values
DFT total energy ... -3.0360 eV/atom
Total magnetic moment ... 0.000 μB per formula unit
Formation energy from the elements ... 222 meV per atom

a = 4.4243 Å, b = 4.4243 Å, c = 4.4243 Å
α = 60.00°, β = 60.00°, γ = 60.00°
Last column: nearest neighbours and their distance in Å.
Fractional positions:
Be (0.0000, 0.0000, 0.0000)  12 Be 2.59, 4 Cd 2.71
Be (0.3734, 0.3734, 0.3734)  6 Be 2.18-2.24
Be (0.3734, 0.3734, 0.8799)  6 Be 2.18-2.24
Be (0.3734, 0.8799, 0.3734)  6 Be 2.18-2.24
Be (0.8799, 0.3734, 0.3734)  6 Be 2.18-2.24
Cd (0.7500, 0.7500, 0.7500)  16 Be 2.60-2.71


Record 4
Below is a relaxed structure of BeCd, with properties calculated at the PBE level.

Calculated values
DFT total energy ... -1.9519 eV/atom
Total magnetic moment ... 0.000 μB per formula unit
Formation energy from the elements ... 369 meV per atom

a = 8.1775 Å, b = 3.1990 Å, c = 5.9728 Å
α = 90.00°, β = 126.77°, γ = 90.00°
Last column: nearest neighbours and their distance in Å.
Fractional positions:
Be (0.1840, 0.0000, 0.0768)  3 Be 2.40-2.57, 3 Cd 2.54-2.57
Be (0.3160, 0.5000, 0.9232)  3 Be 2.40-2.57, 3 Cd 2.54-2.57
Be (0.6840, 0.5000, 0.0768)  3 Be 2.40-2.57, 3 Cd 2.54-2.57
Be (0.8160, 0.0000, 0.9232)  3 Be 2.40-2.57, 3 Cd 2.54-2.57
Cd (0.0661, 0.5000, 0.3232)  5 Be 2.54-2.71
Cd (0.4339, 0.0000, 0.6768)  5 Be 2.54-2.71
Cd (0.5661, 0.0000, 0.3232)  5 Be 2.54-2.71
Cd (0.9339, 0.5000, 0.6768)  5 Be 2.54-2.71


Record 5
Below is a relaxed structure of BeCd, with properties calculated at the PBE level.

Calculated values
DFT total energy ... -2.0125 eV/atom
Total magnetic moment ... 0.000 μB per formula unit
Formation energy from the elements ... 308 meV per atom

a = 7.2697 Å, b = 7.2697 Å, c = 4.0955 Å
α = 90.00°, β = 90.00°, γ = 120.00°
Last column: nearest neighbours and their distance in Å.
Fractional positions:
Be (0.1243, 0.5621, 0.2500)  2 Be 2.28, 2 Cd 2.55
Be (0.4379, 0.5621, 0.2500)  2 Be 2.28, 2 Cd 2.55
Be (0.4379, 0.8757, 0.2500)  2 Be 2.28, 2 Cd 2.55
Be (0.5621, 0.1243, 0.7500)  2 Be 2.28, 2 Cd 2.55
Be (0.5621, 0.4379, 0.7500)  2 Be 2.28, 2 Cd 2.55
Be (0.8757, 0.4379, 0.7500)  2 Be 2.28, 2 Cd 2.55
Cd (0.1761, 0.3522, 0.7500)  6 Be 2.55-2.69
Cd (0.1761, 0.8239, 0.7500)  6 Be 2.55-2.69
Cd (0.3522, 0.1761, 0.2500)  6 Be 2.55-2.69
Cd (0.6478, 0.8239, 0.7500)  6 Be 2.55-2.69
Cd (0.8239, 0.1761, 0.2500)  6 Be 2.55-2.69
Cd (0.8239, 0.6478, 0.2500)  6 Be 2.55-2.69


Record 6
Below is a relaxed structure of BeCd, with properties calculated at the PBE level.

Calculated values
DFT total energy ... -2.0058 eV/atom
Total magnetic moment ... 0.000 μB per formula unit
Formation energy from the elements ... 315 meV per atom

a = 2.7846 Å, b = 10.5671 Å, c = 6.3105 Å
α = 90.00°, β = 90.00°, γ = 90.00°
Last column: nearest neighbours and their distance in Å.
Fractional positions:
Be (0.0000, 0.0000, 0.0000)  4 Be 2.28
Be (0.0000, 0.3976, 0.2698)  3 Be 2.16-2.28
Be (0.0000, 0.6024, 0.2698)  3 Be 2.16-2.28
Be (0.5000, 0.1024, 0.7698)  3 Be 2.16-2.28
Be (0.5000, 0.5000, 0.5000)  4 Be 2.28
Be (0.5000, 0.8976, 0.7698)  3 Be 2.16-2.28
Cd (0.0000, 0.0000, 0.4540)  5 Be 2.66-2.86, 2 Cd 2.78
Cd (0.0000, 0.2964, 0.6589)  5 Be 2.57-2.75, 2 Cd 2.78
Cd (0.0000, 0.7036, 0.6589)  5 Be 2.57-2.75, 2 Cd 2.78
Cd (0.5000, 0.2036, 0.1589)  5 Be 2.57-2.75, 2 Cd 2.78
Cd (0.5000, 0.5000, 0.9540)  5 Be 2.66-2.86, 2 Cd 2.78
Cd (0.5000, 0.7964, 0.1589)  5 Be 2.57-2.75, 2 Cd 2.78


Record 7
Below is a relaxed structure of Be3Cd5, with properties calculated at the PBE level.

Calculated values
DFT total energy ... -1.5943 eV/atom
Total magnetic moment ... 0.000 μB per formula unit
Formation energy from the elements ... 375 meV per atom

a = 5.8944 Å, b = 7.3653 Å, c = 7.4678 Å
α = 82.02°, β = 68.75°, γ = 66.93°
Last column: nearest neighbours and their distance in Å.
Fractional positions:
Be (0.0000, 0.0000, 0.0000)  8 Cd 2.63-2.84
Be (0.0025, 0.5184, 0.1633)  1 Be 2.45, 8 Cd 2.55-2.73
Be (0.1283, 0.6569, 0.6593)  1 Be 2.28
Be (0.3377, 0.9936, 0.3464)  8 Cd 2.63-2.81
Be (0.4556, 0.3650, 0.6738)  1 Be 2.28
Be (0.5770, 0.5276, 0.1763)  1 Be 2.45, 6 Cd 2.50-2.73
Cd (0.0733, 0.7931, 0.3098)  5 Be 2.63-2.75, 1 Cd 2.88
Cd (0.2004, 0.3730, 0.4445)  5 Be 2.62-2.89, 1 Cd 2.92
Cd (0.3727, 0.6416, 0.8982)  5 Be 2.60-2.73
Cd (0.4098, 0.0140, 0.6778)  3 Be 2.69-2.75, 4 Cd 2.89-3.00
Cd (0.4667, 0.2290, 0.0485)  5 Be 2.65-2.88, 2 Cd 2.87-2.92
Cd (0.6117, 0.6500, 0.4694)  5 Be 2.55-2.68
Cd (0.7049, 0.8079, 0.0037)  4 Be 2.50-2.78
Cd (0.8477, 0.2178, 0.3065)  4 Be 2.52-2.81
Cd (0.8876, 0.0500, 0.6736)  4 Be 2.68-2.81, 4 Cd 2.90-3.00
Cd (0.9701, 0.3680, 0.8769)  5 Be 2.57-2.75


Record 8
Below is a relaxed structure of Be3Cd, with properties calculated at the PBE level.

Calculated values
DFT total energy ... -2.5980 eV/atom
Total magnetic moment ... 0.000 μB per formula unit
Formation energy from the elements ... 425 meV per atom

a = 4.6966 Å, b = 7.8311 Å, c = 5.1224 Å
α = 90.00°, β = 90.00°, γ = 90.00°
Last column: nearest neighbours and their distance in Å.
Fractional positions:
Be (0.0939, 0.2500, 0.1238)  4 Be 2.26-2.42, 2 Cd 2.42-2.45
Be (0.1836, 0.5146, 0.8514)  3 Be 2.26-2.42, 1 Cd 2.52
Be (0.1836, 0.9854, 0.8514)  3 Be 2.26-2.42, 1 Cd 2.52
Be (0.3164, 0.0146, 0.3514)  3 Be 2.26-2.42, 1 Cd 2.52
Be (0.3164, 0.4854, 0.3514)  3 Be 2.26-2.42, 1 Cd 2.52
Be (0.4061, 0.7500, 0.6238)  4 Be 2.26-2.42, 2 Cd 2.42-2.45
Be (0.5939, 0.2500, 0.3762)  4 Be 2.26-2.42, 2 Cd 2.42-2.45
Be (0.6836, 0.5146, 0.6486)  3 Be 2.26-2.42, 1 Cd 2.52
Be (0.6836, 0.9854, 0.6486)  3 Be 2.26-2.42, 1 Cd 2.52
Be (0.8164, 0.0146, 0.1486)  3 Be 2.26-2.42, 1 Cd 2.52
Be (0.8164, 0.4854, 0.1486)  3 Be 2.26-2.42, 1 Cd 2.52
Be (0.9061, 0.7500, 0.8762)  4 Be 2.26-2.42, 2 Cd 2.42-2.45
Cd (0.0583, 0.2500, 0.5956)  7 Be 2.42-2.71
Cd (0.4417, 0.7500, 0.0956)  7 Be 2.42-2.71
Cd (0.5583, 0.2500, 0.9044)  7 Be 2.42-2.71
Cd (0.9417, 0.7500, 0.4044)  7 Be 2.42-2.71


Record 9
Below is a relaxed structure of Be8Cd, with properties calculated at the PBE level.

Calculated values
DFT total energy ... -3.1394 eV/atom
Total magnetic moment ... 0.000 μB per formula unit
Formation energy from the elements ... 274 meV per atom

a = 5.3412 Å, b = 5.3412 Å, c = 5.3412 Å
α = 95.64°, β = 95.64°, γ = 143.48°
Last column: nearest neighbours and their distance in Å.
Fractional positions:
Be (0.0000, 0.3497, 0.3497)  7 Be 2.16-2.28
Be (0.0000, 0.6503, 0.6503)  7 Be 2.16-2.28
Be (0.3156, 0.3156, 0.6313)  4 Be 2.14-2.28
Be (0.3156, 0.6844, 0.0000)  4 Be 2.14-2.28
Be (0.3497, 0.0000, 0.3497)  7 Be 2.16-2.28
Be (0.6503, 0.0000, 0.6503)  7 Be 2.16-2.28
Be (0.6844, 0.3156, 0.0000)  4 Be 2.14-2.28
Be (0.6844, 0.6844, 0.3687)  4 Be 2.14-2.28
Cd (0.0000, 0.0000, 0.0000)  12 Be 2.51


Record 10
Below is a relaxed structure of BeCd, with properties calculated at the PBE level.

Calculated values
DFT total energy ... -2.0228 eV/atom
Total magnetic moment ... 0.000 μB per formula unit
Formation energy from the elements ... 298 meV per atom

a = 3.9273 Å, b = 4.4479 Å, c = 11.3850 Å
α = 90.00°, β = 90.00°, γ = 90.00°
Last column: nearest neighbours and their distance in Å.
Fractional positions:
Be (0.0000, 0.0000, 0.0000)  4 Be 2.22
Be (0.0000, 0.5000, 0.4083)  3 Be 2.09-2.22
Be (0.0000, 0.5000, 0.5917)  3 Be 2.09-2.22
Be (0.5000, 0.0000, 0.0917)  3 Be 2.09-2.22
Be (0.5000, 0.0000, 0.9083)  3 Be 2.09-2.22
Be (0.5000, 0.5000, 0.5000)  4 Be 2.22
Cd (0.0000, 0.0000, 0.2336)  3 Be 2.54-2.66
Cd (0.0000, 0.0000, 0.5000)  4 Be 2.46
Cd (0.0000, 0.0000, 0.7664)  3 Be 2.54-2.66
Cd (0.5000, 0.5000, 0.0000)  4 Be 2.46
Cd (0.5000, 0.5000, 0.2664)  3 Be 2.54-2.66
Cd (0.5000, 0.5000, 0.7336)  3 Be 2.54-2.66


Record 11
Below is a relaxed structure of BeCd, with properties calculated at the PBE level.

Calculated values
DFT total energy ... -1.6749 eV/atom
Total magnetic moment ... 0.000 μB per formula unit
Formation energy from the elements ... 646 meV per atom

a = 6.3404 Å, b = 6.3404 Å, c = 6.3404 Å
α = 90.00°, β = 90.00°, γ = 90.00°
Last column: nearest neighbours and their distance in Å.
Fractional positions:
Be (0.1250, 0.1250, 0.1250)  4 Cd 2.75, 4 Be 2.75
Be (0.1250, 0.6250, 0.6250)  4 Be 2.75, 4 Cd 2.75
Be (0.3750, 0.3750, 0.8750)  4 Cd 2.75, 4 Be 2.75
Be (0.3750, 0.8750, 0.3750)  4 Cd 2.75, 4 Be 2.75
Be (0.6250, 0.1250, 0.6250)  4 Be 2.75, 4 Cd 2.75
Be (0.6250, 0.6250, 0.1250)  4 Be 2.75, 4 Cd 2.75
Be (0.8750, 0.3750, 0.3750)  4 Cd 2.75, 4 Be 2.75
Be (0.8750, 0.8750, 0.8750)  4 Cd 2.75, 4 Be 2.75
Cd (0.1250, 0.1250, 0.6250)  4 Cd 2.75, 4 Be 2.75
Cd (0.1250, 0.6250, 0.1250)  4 Cd 2.75, 4 Be 2.75
Cd (0.3750, 0.3750, 0.3750)  4 Be 2.75, 4 Cd 2.75
Cd (0.3750, 0.8750, 0.8750)  4 Be 2.75, 4 Cd 2.75
Cd (0.6250, 0.1250, 0.1250)  4 Cd 2.75, 4 Be 2.75
Cd (0.6250, 0.6250, 0.6250)  4 Cd 2.75, 4 Be 2.75
Cd (0.8750, 0.3750, 0.8750)  4 Be 2.75, 4 Cd 2.75
Cd (0.8750, 0.8750, 0.3750)  4 Be 2.75, 4 Cd 2.75


Record 12
Below is a relaxed structure of BeCd, with properties calculated at the PBE level.

Calculated values
DFT total energy ... -2.0161 eV/atom
Total magnetic moment ... 0.000 μB per formula unit
Formation energy from the elements ... 305 meV per atom

a = 12.2175 Å, b = 2.7578 Å, c = 6.2609 Å
α = 90.00°, β = 118.97°, γ = 90.00°
Last column: nearest neighbours and their distance in Å.
Fractional positions:
Be (0.0000, 0.0000, 0.0000)  3 Be 2.20-2.29
Be (0.0712, 0.0000, 0.3977)  3 Be 2.20-2.30
Be (0.4068, 0.0000, 0.1570)  4 Be 2.29-2.30
Be (0.5000, 0.5000, 0.0000)  3 Be 2.20-2.29
Be (0.5712, 0.5000, 0.3977)  3 Be 2.20-2.30
Be (0.9068, 0.5000, 0.1570)  4 Be 2.29-2.30
Cd (0.2133, 0.5000, 0.2035)  6 Be 2.66-2.91, 2 Cd 2.76
Cd (0.2543, 0.5000, 0.7474)  5 Be 2.63-2.71, 2 Cd 2.76
Cd (0.4703, 0.0000, 0.6289)  5 Be 2.57-2.69, 2 Cd 2.76
Cd (0.7133, 0.0000, 0.2035)  6 Be 2.66-2.91, 2 Cd 2.76
Cd (0.7543, 0.0000, 0.7474)  5 Be 2.63-2.71, 2 Cd 2.76
Cd (0.9703, 0.5000, 0.6289)  5 Be 2.57-2.69, 2 Cd 2.76


What did the fourth record say?
Below is a relaxed structure of BeCd, with properties calculated at the PBE level.

Calculated values
DFT total energy ... -1.9519 eV/atom
Total magnetic moment ... 0.000 μB per formula unit
Formation energy from the elements ... 369 meV per atom

a = 8.1775 Å, b = 3.1990 Å, c = 5.9728 Å
α = 90.00°, β = 126.77°, γ = 90.00°
Last column: nearest neighbours and their distance in Å.
Fractional positions:
Be (0.1840, 0.0000, 0.0768)  3 Be 2.40-2.57, 3 Cd 2.54-2.57
Be (0.3160, 0.5000, 0.9232)  3 Be 2.40-2.57, 3 Cd 2.54-2.57
Be (0.6840, 0.5000, 0.0768)  3 Be 2.40-2.57, 3 Cd 2.54-2.57
Be (0.8160, 0.0000, 0.9232)  3 Be 2.40-2.57, 3 Cd 2.54-2.57
Cd (0.0661, 0.5000, 0.3232)  5 Be 2.54-2.71
Cd (0.4339, 0.0000, 0.6768)  5 Be 2.54-2.71
Cd (0.5661, 0.0000, 0.3232)  5 Be 2.54-2.71
Cd (0.9339, 0.5000, 0.6768)  5 Be 2.54-2.71


Question: The lowest formation energy from the elements belongs to which entry?
Answer: Be5Cd


Question: What is the DFT total energy in the second record?
Answer: -1.9313 eV/atom